VASP calculation (PBE) on a relaxed structure of ZnBiSbI2.

```
data_ZnBiSbI2
_chemical_formula_sum 'Zn1 Bi1 Sb1 I2'
_cell_length_a 6.228
_cell_length_b 6.228
_cell_length_c 6.121
_cell_angle_alpha 90.00
_cell_angle_beta 90.00
_cell_angle_gamma 90.00
_space_group_name_H-M_alt 'P 4/m m m'
_space_group_IT_number 123
_space_group_name_Hall '-P 4 2'
loop_
_atom_site_label
_atom_site_type_symbol
_atom_site_fract_x
_atom_site_fract_y
_atom_site_fract_z
Zn1 Zn 0.000 0.000 0.000
Bi1 Bi 0.500 0.500 0.500
Sb1 Sb 0.500 0.500 0.000
I1 I 0.000 0.500 0.500
```

Computed properties:
ΔE_f (raw), kJ/mol of atoms: 35.3
E, eV/atom: -2.11